DFT (SCAN) results for a PBEsol-optimized structure of CuS2N2.

Volume in Å³/cell: 63.3
Symmetry: P4/mmm (123)

Cell lengths 3.2818, 3.2818, 5.8748 Å; angles 90.00, 90.00, 90.00 degrees
With the nearest neighbours (Å) after each atom.
Fractional coordinates of all 5 atoms:
Cu: 0.0000 0.0000 0.0000  4 S 2.32
S: 0.5000 0.5000 0.0000  4 Cu 2.32
S: 0.5000 0.5000 0.5000  4 N 1.64
N: 0.0000 0.5000 0.5000  2 S 1.64
N: 0.5000 0.0000 0.5000  2 S 1.64

DFT (SCAN) results for a PBEsol-optimized structure of CuTcSN2.

Volume in Å³/cell: 60.3
Symmetry: P4/mmm (123)

Cell lengths 3.6626, 3.6626, 4.4988 Å; angles 90.00, 90.00, 90.00 degrees
With the nearest neighbours (Å) after each atom.
Fractional coordinates of all 5 atoms:
Cu: 0.0000 0.0000 0.0000  4 N 1.83
Tc: 0.5000 0.5000 0.5000  4 S 2.59, 8 N 2.90
S: 0.0000 0.0000 0.5000  2 Cu 2.25
N: 0.0000 0.5000 0.0000  2 Cu 1.83
N: 0.5000 0.0000 0.0000  2 Cu 1.83

DFT (SCAN) results for a PBEsol-optimized structure of YCuSN2.

Volume in Å³/cell: 101.3
Symmetry: P4/mmm (123)

Cell lengths 4.3648, 4.3648, 5.3192 Å; angles 90.00, 90.00, 90.00 degrees
With the nearest neighbours (Å) after each atom.
Fractional coordinates of all 5 atoms:
Y: 0.0000 0.0000 0.0000  4 N 2.18
Cu: 0.5000 0.5000 0.5000  4 S 3.09, 8 N 3.44
S: 0.0000 0.0000 0.5000  2 Y 2.66
N: 0.0000 0.5000 0.0000  2 Y 2.18
N: 0.5000 0.0000 0.0000  2 Y 2.18

DFT (SCAN) results for a PBEsol-optimized structure of Y2CuSN.

Volume in Å³/cell: 90.6
Symmetry: P4/mmm (123)

Cell lengths 5.1192, 5.1192, 3.4554 Å; angles 90.00, 90.00, 90.00 degrees
With the nearest neighbours (Å) after each atom.
Fractional coordinates of all 5 atoms:
Y: 0.0000 0.5000 0.0000  2 Cu 2.56
Y: 0.5000 0.0000 0.0000  2 Cu 2.56
Cu: 0.0000 0.0000 0.0000  2 N 1.73
S: 0.5000 0.5000 0.5000  8 Y 3.09, 2 S 3.46
N: 0.0000 0.0000 0.5000  2 Cu 1.73

| no. | formation energy without anion corrections (meV per atom) |
| --- | --- |
| 1 | 1279 |
| 2 | 1554 |
| 3 | 846 |
| 4 | -507 |